A:
VASP calculation (PBE) on an optimized crystal structure of P2PdRuCl.

Cell and atoms, written as POSCAR:
```
P2PdRuCl
1.0
4.620 0.000 0.000
0.000 4.620 0.000
0.000 0.000 4.812
Pd P Ru Cl
1 2 1 1
direct
0.000 0.000 0.000 Pd
0.000 0.500 0.000 P
0.500 0.000 0.000 P
0.500 0.500 0.500 Ru
0.000 0.000 0.500 Cl
```

Summary:
For the mass density, the calculation gives 4.9 g cm⁻³. Its magnetic moment is 2.15 μB per formula unit. As for the symmetry: P4/mmm, No. 123. For the density of states at the Fermi level, the calculation gives 4.14 states/eV per cell.

***

B:
VASP calculation (PBE) on an optimized crystal structure of P2PdRuCl.

Cell and atoms, written as POSCAR:
```
P2PdRuCl
1.0
4.483 0.000 0.000
0.000 4.483 0.000
0.000 0.000 5.008
Pd Cl P Ru
1 1 2 1
direct
0.500 0.500 0.500 Pd
0.000 0.000 0.500 Cl
0.500 0.000 0.000 P
0.000 0.500 0.000 P
0.000 0.000 0.000 Ru
```

Summary:
For the mass density, the calculation gives 5.0 g cm⁻³. Its magnetic moment is 0.00 μB per formula unit. As for the symmetry: P4/mmm, No. 123. For the density of states at the Fermi level, the calculation gives 3.66 states/eV per cell.

***

Stability check: which of them is most stable? B.

***

A:
VASP calculation (PBE) on an optimized crystal structure of PPdS2Cl.

Cell and atoms, written as POSCAR:
```
PPdS2Cl
1.0
-2.229 3.929 -0.129
-2.952 -1.772 -2.927
-2.721 -1.425 3.608
Pd S Cl P
1 2 1 1
direct
0.500 0.500 0.500 Pd
0.000 0.500 0.000 S
0.500 0.000 0.000 S
0.000 0.000 0.000 Cl
0.000 0.000 0.500 P
```

Summary:
For the mass density, the calculation gives 4.1 g cm⁻³. Its magnetic moment is 0.00 μB per formula unit. As for the symmetry: P4/mmm, No. 123. For the density of states at the Fermi level, the calculation gives 5.09 states/eV per cell.

***

B:
VASP calculation (PBE) on an optimized crystal structure of PPdS2Cl.

Cell and atoms, written as POSCAR:
```
PPdS2Cl
1.0
-2.850 0.207 -3.559
2.512 -3.115 -2.193
-2.532 -3.332 1.833
P Pd Cl S
1 1 1 2
direct
0.000 0.000 0.000 P
0.500 0.500 0.500 Pd
0.000 0.000 0.500 Cl
0.000 0.500 0.000 S
0.500 0.000 0.000 S
```

Summary:
For the mass density, the calculation gives 4.1 g cm⁻³. Its magnetic moment is 0.05 μB per formula unit. As for the symmetry: P4/mmm, No. 123. For the density of states at the Fermi level, the calculation gives 5.87 states/eV per cell.

***

Stability check: which of them is most stable? B.

***

A:
VASP calculation (PBE) on an optimized crystal structure of P2PdSCl.

Cell and atoms, written as POSCAR:
```
P2PdSCl
1.0
-0.286 -3.089 -3.303
2.865 -2.684 2.263
-3.619 -2.012 2.196
Cl S Pd P
1 1 1 2
direct
0.000 0.000 0.000 Cl
0.000 0.000 0.500 S
0.500 0.500 0.500 Pd
0.500 0.000 0.000 P
0.000 0.500 0.000 P
```

Summary:
For the mass density, the calculation gives 4.1 g cm⁻³. Its magnetic moment is 0.00 μB per formula unit. As for the symmetry: P4/mmm, No. 123. For the density of states at the Fermi level, the calculation gives 5.06 states/eV per cell.

***

B:
VASP calculation (PBE) on an optimized crystal structure of P2PdSCl.

Cell and atoms, written as POSCAR:
```
P2PdSCl
1.0
4.607 0.000 0.000
0.000 4.607 0.000
0.000 0.000 4.498
Pd S P Cl
1 1 2 1
direct
0.500 0.500 0.500 Pd
0.000 0.000 0.000 S
0.000 0.500 0.000 P
0.500 0.000 0.000 P
0.000 0.000 0.500 Cl
```

Summary:
For the mass density, the calculation gives 4.1 g cm⁻³. Its magnetic moment is 0.00 μB per formula unit. As for the symmetry: P4/mmm, No. 123. For the density of states at the Fermi level, the calculation gives 4.69 states/eV per cell.

***

Stability check: which of them is most stable? B.